1.
# SrTlHg2Se

SrTlHg2Se after structural relaxation (GGA-PBEsol, the Alexandria database).

Lattice parameters (Å, degrees): 5.4546 5.4546 5.6194 90.00 90.00 90.00
Last column: nearest neighbours and their distance in Å.
Element x y z (fractional)
Hg 0.0000 0.5000 0.0000  2 Se 2.73
Hg 0.5000 0.0000 0.0000  2 Se 2.73
Sr 0.0000 0.0000 0.5000  2 Se 2.81
Se 0.0000 0.0000 0.0000  4 Hg 2.73, 2 Sr 2.81
Tl 0.5000 0.5000 0.5000  4 Sr 3.86, 8 Hg 3.92

Output
- total magnetic moment (Bohr magnetons per cell) = 0.00
- formation energy from raw total energies (eV per atom) = -0.1383
- N(E_F) (states/eV per atom) = 0.728


2.
# BaGaBr2

BaGaBr2 after structural relaxation (GGA-PBEsol, the Alexandria database).

Lattice parameters (Å, degrees): 5.4999 5.4999 5.4999 60.00 60.00 60.00
Last column: nearest neighbours and their distance in Å.
Element x y z (fractional)
Ba 0.5000 0.5000 0.5000  8 Br 3.37
Br 0.2500 0.2500 0.2500  4 Ba 3.37, 4 Ga 3.37
Br 0.7500 0.7500 0.7500  4 Ba 3.37, 4 Ga 3.37
Ga 0.0000 0.0000 0.0000  8 Br 3.37

Output
- total magnetic moment (Bohr magnetons per cell) = 0.00
- formation energy from raw total energies (eV per atom) = -1.1413
- N(E_F) (states/eV per atom) = 0.820


no.,energy (eV per atom)
1,-2.03
2,-3.45